1.
# LaGa2Sn2

A relaxed LaGa2Sn2 crystal (GGA-PBE, Alexandria via LeMat-Bulk).

a = 4.5742 Å, b = 4.5742 Å, c = 12.6397 Å
α = 90.00°, β = 90.00°, γ = 90.00°
Fractional coordinates of all 10 atoms:
La1 0.0000 0.0000 0.0000
La2 0.5000 0.5000 0.5000
Ga1 0.0000 0.5000 0.2500
Ga2 0.0000 0.5000 0.7500
Ga3 0.5000 0.0000 0.2500
Ga4 0.5000 0.0000 0.7500
Sn1 0.0000 0.0000 0.3845
Sn2 0.0000 0.0000 0.6155
Sn3 0.5000 0.5000 0.1155
Sn4 0.5000 0.5000 0.8845

## Properties
* total magnetic moment: 0.00 μB per formula unit
* energy: -4.051 eV/atom
* ΔE_f: -1.3 eV/f.u.
* excess energy over the best structure of this formula in the dataset: 167.6 meV/atom
* SG: I4/mmm



2.
# Si2TcW

A relaxed Si2TcW crystal (GGA-PBE, Alexandria via LeMat-Bulk).

a = 8.1469 Å, b = 2.8759 Å, c = 4.9635 Å
α = 90.00°, β = 101.50°, γ = 90.00°
Fractional coordinates of all 8 atoms:
Si1 0.2456 0.0000 0.2252
Si2 0.2544 0.5000 0.7748
Si3 0.7456 0.5000 0.2252
Si4 0.7544 0.0000 0.7748
Tc1 0.0000 0.5000 0.0000
Tc2 0.5000 0.0000 0.0000
W1 0.0000 0.0000 0.5000
W2 0.5000 0.5000 0.5000

## Properties
* total magnetic moment: 0.00 μB per formula unit
* energy: -8.597 eV/atom
* excess energy over the best structure of this formula in the dataset: 320.0 meV/atom
* SG: C2/m



3.
# Al2PtBr

A relaxed Al2PtBr crystal (GGA-PBE, Alexandria via LeMat-Bulk).

a = 3.0629 Å, b = 4.2346 Å, c = 6.5529 Å
α = 90.00°, β = 90.00°, γ = 90.00°
Fractional coordinates of all 4 atoms:
Al1 0.0000 0.0000 0.0000
Al2 0.5000 0.0000 0.5000
Pt1 0.0000 0.5000 0.5000
Br1 0.5000 0.5000 0.0000

## Properties
* total magnetic moment: 0.00 μB per formula unit
* energy: -3.729 eV/atom
* excess energy over the best structure of this formula in the dataset: 693.4 meV/atom
* SG: Pmmm



4.
# LuNpNi2

A relaxed LuNpNi2 crystal (GGA-PBE, Alexandria via LeMat-Bulk).

a = 4.7965 Å, b = 4.7965 Å, c = 3.1210 Å
α = 90.00°, β = 90.00°, γ = 90.00°
Fractional coordinates of all 4 atoms:
Lu1 0.0000 0.0000 0.0000
Np1 0.5000 0.5000 0.0000
Ni1 0.0000 0.5000 0.5000
Ni2 0.5000 0.0000 0.5000

## Properties
* total magnetic moment: 3.73 μB per formula unit
* energy: -7.384 eV/atom
* ΔE_f: -0.5 eV/f.u.
* SG: P4/mmm



5.
# Hg2GeBi2

A relaxed Hg2GeBi2 crystal (GGA-PBE, Alexandria via LeMat-Bulk).

a = 8.8798 Å, b = 8.8798 Å, c = 3.6175 Å
α = 90.00°, β = 90.00°, γ = 90.00°
Fractional coordinates of all 10 atoms:
Hg1 0.1170 0.3830 0.0000
Hg2 0.3830 0.8830 0.0000
Hg3 0.6170 0.1170 0.0000
Hg4 0.8830 0.6170 0.0000
Ge1 0.0000 0.0000 0.5000
Ge2 0.5000 0.5000 0.5000
Bi1 0.1892 0.6892 0.5000
Bi2 0.3108 0.1892 0.5000
Bi3 0.6892 0.8108 0.5000
Bi4 0.8108 0.3108 0.5000

## Properties
* total magnetic moment: 0.00 μB per formula unit
* energy: -2.315 eV/atom
* ΔE_f: 1.4 eV/f.u.
* excess energy over the best structure of this formula in the dataset: 78.3 meV/atom
* SG: P4/mbm



6.
# Ho3TmTc

A relaxed Ho3TmTc crystal (GGA-PBE, Alexandria via LeMat-Bulk).

a = 7.2049 Å, b = 7.2049 Å, c = 7.8269 Å
α = 122.78°, β = 122.78°, γ = 73.02°
Fractional coordinates of all 10 atoms:
Ho1 0.0535 0.0535 0.3473
Ho2 0.0549 0.4473 0.2070
Ho3 0.4473 0.0549 0.2070
Ho4 0.5527 0.9451 0.7930
Ho5 0.9451 0.5527 0.7930
Ho6 0.9465 0.9465 0.6527
Tm1 0.4458 0.4458 0.7428
Tm2 0.5542 0.5542 0.2572
Tc1 0.2502 0.2502 0.8742
Tc2 0.7498 0.7498 0.1258

## Properties
* total magnetic moment: 0.00 μB per formula unit
* energy: -5.749 eV/atom
* ΔE_f: -0.2 eV/f.u.
* excess energy over the best structure of this formula in the dataset: 17.9 meV/atom
* SG: C2/m



7.
# Sc3V

A relaxed Sc3V crystal (GGA-PBE, Alexandria via LeMat-Bulk).

a = 2.9321 Å, b = 2.9692 Å, c = 9.9117 Å
α = 90.00°, β = 90.00°, γ = 90.00°
Fractional coordinates of all 4 atoms:
Sc1 0.0000 0.0000 0.0000
Sc2 0.0000 0.5000 0.3010
Sc3 0.5000 0.5000 0.7465
V1 0.5000 0.0000 0.5006

## Properties
* total magnetic moment: 0.00 μB per formula unit
* energy: -6.651 eV/atom
* ΔE_f: 1.5 eV/f.u.
* excess energy over the best structure of this formula in the dataset: 200.3 meV/atom
* SG: Pmm2



8.
# BTeRhI2

A relaxed BTeRhI2 crystal (GGA-PBE, Alexandria via LeMat-Bulk).

a = 5.5478 Å, b = 5.5478 Å, c = 5.0578 Å
α = 90.00°, β = 90.00°, γ = 90.00°
Fractional coordinates of all 5 atoms:
B1 0.0000 0.0000 0.0000
Te1 0.5000 0.5000 0.0000
Rh1 0.5000 0.5000 0.5000
I1 0.0000 0.5000 0.5000
I2 0.5000 0.0000 0.5000

## Properties
* total magnetic moment: 0.00 μB per formula unit
* energy: -2.956 eV/atom
* excess energy over the best structure of this formula in the dataset: 0.0 meV/atom
* SG: P4/mmm